Record 1
RbTe2Cl2: optimized geometry, PBE.

Output
symmetry = I4/mmm (139)
total moment = 0.00 μB/f.u.
DOS at the Fermi energy = 1.116 states/eV per atom

a b c (Å): 4.2342 4.2342 9.7418
angles (deg): 77.45 77.45 90.00
With the nearest neighbours (Å) after each atom.
Sites, in units of the cell vectors:
Cl 0.5947 0.5947 0.8106  4 Rb 3.47, 1 Cl 3.51, 4 Te 3.57
Cl 0.4053 0.4053 0.1894  4 Rb 3.47, 1 Cl 3.51, 4 Te 3.57
Te 0.7500 0.2500 0.5000  4 Te 2.99
Te 0.2500 0.7500 0.5000  4 Te 2.99
Rb 0.0000 0.0000 0.0000  8 Cl 3.47

Record 2
RbTeCl2: optimized geometry, PBE.

Output
symmetry = I-42d (122)
total moment = 0.00 μB/f.u.
DOS at the Fermi energy = 0.521 states/eV per atom

a b c (Å): 5.8211 5.8211 10.0625
angles (deg): 73.19 73.19 90.00
With the nearest neighbours (Å) after each atom.
Sites, in units of the cell vectors:
Cl 0.7153 0.1250 0.2500  2 Te 2.87
Cl 0.3750 0.2847 0.7500  2 Te 2.87
Cl 0.8750 0.9653 0.7500  2 Te 2.87
Cl 0.0347 0.6250 0.2500  2 Te 2.87
Rb 0.5000 0.5000 0.0000  4 Cl 3.36
Rb 0.2500 0.7500 0.5000  4 Cl 3.36
Te 0.0000 0.0000 0.0000  4 Cl 2.87
Te 0.7500 0.2500 0.5000  4 Cl 2.87

Record 3
RbTeCl6: optimized geometry, PBE.

Output
symmetry = R-3m (166)
total moment = 0.00 μB/f.u.
DOS at the Fermi energy = 0.452 states/eV per atom

a b c (Å): 7.0414 7.0414 7.6558
angles (deg): 62.62 62.62 60.00
With the nearest neighbours (Å) after each atom.
Sites, in units of the cell vectors:
Cl 0.0922 0.0922 0.2198  1 Te 2.47
Cl 0.9078 0.4043 0.7802  1 Te 2.47
Cl 0.4043 0.9078 0.7802  1 Te 2.47
Cl 0.9078 0.9078 0.7802  1 Te 2.47
Cl 0.5957 0.0922 0.2198  1 Te 2.47
Cl 0.0922 0.5957 0.2198  1 Te 2.47
Te 0.0000 0.0000 0.0000  6 Cl 2.47
Rb 0.5000 0.5000 0.5000  12 Cl 3.96

Computed formation energy (no corrections), in the same sequence as the records: -14.9 -17.3 -19.5 kcal/mol of atoms.
Computed mass density, in the same sequence as the records: 4.1 3.0 2.5 Mg/m³.
Computed VASP energy, in the same sequence as the records: -14.17 -21.62 -21.96 eV for the cell shown.